No. 1
A plane-wave DFT calculation with GGA-PBE was carried out for YCu4Si2 after structural relaxation.

Results
* M_tot: 0.0 μB per formula unit
* E: -5.21 eV per atom
* formation energy without anion corrections: -0.394 eV/atom
* DOS at the Fermi energy: 2.524 states/eV/f.u.

a = 6.761 Å, b = 6.761 Å, c = 4.014 Å
α = 90.00°, β = 90.00°, γ = 145.57°
Positions (direct):
Y  0.000  0.000  0.000
Cu  0.188  0.812  0.500
Cu  0.313  0.687  0.000
Cu  0.687  0.313  0.000
Cu  0.812  0.188  0.500
Si  0.407  0.593  0.500
Si  0.593  0.407  0.500

---

No. 2
A plane-wave DFT calculation with GGA-PBE was carried out for MnGePd after structural relaxation.

Results
* M_tot: 3.6 μB per formula unit
* E: -6.41 eV per atom
* E_form: -0.0852 eV/atom
* DOS at the Fermi energy: 1.934 states/eV/f.u.

a = 6.264 Å, b = 6.264 Å, c = 6.264 Å
α = 27.47°, β = 27.47°, γ = 27.47°
Positions (direct):
Mn  0.000  0.000  0.000
Ge  0.225  0.225  0.225
Pd  0.784  0.784  0.784

---

No. 3
A plane-wave DFT calculation with GGA-PBE was carried out for Np3AsS6 after structural relaxation.

Results
* M_tot: 3.6 μB per formula unit
* E: -7.83 eV per atom
* formation energy without anion corrections: -1.009 eV/atom
* DOS at the Fermi energy: 25.175 states/eV/f.u.

a = 8.387 Å, b = 8.387 Å, c = 6.668 Å
α = 90.00°, β = 90.00°, γ = 101.51°
Positions (direct):
Np  0.101  0.899  0.500
Np  0.209  0.418  0.387
Np  0.418  0.209  0.887
Np  0.582  0.791  0.387
Np  0.791  0.582  0.887
Np  0.899  0.101  0.000
As  0.352  0.648  0.951
As  0.648  0.352  0.451
S  0.062  0.596  0.667
S  0.129  0.195  0.693
S  0.195  0.129  0.193
S  0.267  0.733  0.250
S  0.404  0.938  0.667
S  0.490  0.510  0.640
S  0.510  0.490  0.140
S  0.596  0.062  0.167
S  0.733  0.267  0.750
S  0.805  0.871  0.693
S  0.871  0.805  0.193
S  0.938  0.404  0.167

---

No. 4
A plane-wave DFT calculation with GGA-PBE was carried out for AlCrPd2 after structural relaxation.

Results
* M_tot: 0.0 μB per formula unit
* E: -5.76 eV per atom
* E_form: 0.1799 eV/atom
* DOS at the Fermi energy: 4.065 states/eV/f.u.

a = 9.036 Å, b = 9.036 Å, c = 9.036 Å
α = 155.72°, β = 155.72°, γ = 34.61°
Positions (direct):
Al  0.000  0.000  0.000
Al  0.750  0.250  0.500
Cr  0.250  0.750  0.500
Cr  0.500  0.500  0.000
Pd  0.127  0.625  0.002
Pd  0.375  0.377  0.502
Pd  0.623  0.125  0.998
Pd  0.875  0.873  0.498

---

No. 5
A plane-wave DFT calculation with GGA-PBE was carried out for KScTi after structural relaxation.

Results
* M_tot: 1.4 μB per formula unit
* E: -3.15 eV per atom
* E_form: 1.9544 eV/atom
* DOS at the Fermi energy: 6.442 states/eV/f.u.

a = 6.057 Å, b = 6.057 Å, c = 9.867 Å
α = 90.00°, β = 90.00°, γ = 120.00°
Positions (direct):
K  0.333  0.667  0.250
K  0.667  0.333  0.750
Sc  0.000  0.000  0.250
Sc  0.000  0.000  0.750
Ti  0.000  0.000  0.000
Ti  0.000  0.000  0.500